K3TeOs: optimized geometry, PBE-GGA.

Output
DFT total energy = -13.78 eV per cell
Energy relative to the elements, uncorrected = 0.7766 eV per atom
Crystal system = cubic
Space-group type = Pm-3m
DOS(E_F) = 2.96 states/eV per cell
Distance to the lowest polymorph of the same formula = 0 meV per atom

Geometry as POSCAR:
```
K3TeOs
1.0
6.582 0.000 0.000
0.000 6.582 0.000
0.000 0.000 6.582
K Te Os
3 1 1
direct
0.000 0.000 0.500 K
0.000 0.500 0.000 K
0.500 0.000 0.000 K
0.000 0.000 0.000 Te
0.500 0.500 0.500 Os
```